VASP calculation (PBEsol) on a relaxed structure of Li2SiSb.

Summary:
Its total energy is -15.2 eV/cell. Its space group is Pmmm (47). The calculation puts the uncorrected formation energy at -0.2284 eV per atom. The calculation puts the volume at 70.1 Å³ per cell.

```
4
Lattice="2.908 0.000 0.000 0.000 4.120 0.000 0.000 0.000 5.848" Properties=species:S:1:pos:R:3 pbc="T T T"
Li 0.000 0.000 1.323
Li 0.000 0.000 4.525
Si 1.454 2.060 0.000
Sb 1.454 2.060 2.924
```


VASP calculation (PBEsol) on a relaxed structure of MgZn4In.

Summary:
Its total energy is -11.1 eV/cell. Its energy relative to the elements is -0.121 eV per formula unit. Its space group is F-43m (216). The calculation puts the volume at 101.4 Å³ per cell.

```
6
Lattice="0.000 3.701 3.701 3.701 0.000 3.701 3.701 3.701 0.000" Properties=species:S:1:pos:R:3 pbc="T T T"
Mg 0.000 0.000 0.000
Zn 4.632 2.771 2.771
Zn 2.771 4.632 2.771
Zn 2.771 2.771 4.632
Zn 4.632 4.632 4.632
In 1.851 1.851 1.851
```


VASP calculation (PBEsol) on a relaxed structure of LiPbAu2.

Summary:
Its total energy is -14.8 eV/cell. Its energy relative to the elements is -0.954 eV per formula unit. Its space group is P4/mmm (123). The calculation puts the volume at 74.6 Å³ per cell.

```
4
Lattice="4.214 0.000 0.000 0.000 4.214 0.000 0.000 0.000 4.202" Properties=species:S:1:pos:R:3 pbc="T T T"
Li 0.000 0.000 0.000
Pb 2.107 2.107 0.000
Au 0.000 2.107 2.101
Au 2.107 0.000 2.101
```


VASP calculation (PBEsol) on a relaxed structure of ZnCuPt2.

Summary:
Its total energy is -42.1 eV/cell. Its energy relative to the elements is -1.194 eV per formula unit. Its space group is C2/m (12). The calculation puts the volume at 110.3 Å³ per cell.

```
8
Lattice="8.593 0.000 0.000 0.000 2.743 0.000 -0.872 0.000 4.681" Properties=species:S:1:pos:R:3 pbc="T T T"
Zn 0.000 0.000 0.000
Zn 4.297 1.372 0.000
Cu -0.436 1.372 2.341
Cu 3.861 0.000 2.341
Pt 1.921 1.372 1.179
Pt 1.504 0.000 3.502
Pt 6.218 0.000 1.179
Pt 5.800 1.372 3.502
```